First-principles (GGA+U) data for MnBiWO6 after structural relaxation, as listed in Alexandria via LeMat-Bulk.

Calculated total energy, eV per atom: -7.027

a = 5.287 Å, b = 5.287 Å, c = 9.963 Å
α = 90.00°, β = 90.00°, γ = 120.00°
Element x y z (fractional)
Mn: 0.333 0.667 0.250
Mn: 0.667 0.333 0.750
Bi: 0.000 0.000 0.000
Bi: 0.000 0.000 0.500
W: 0.333 0.667 0.750
W: 0.667 0.333 0.250
O: 0.014 0.373 0.641
O: 0.014 0.641 0.859
O: 0.359 0.373 0.859
O: 0.359 0.986 0.641
O: 0.373 0.014 0.141
O: 0.373 0.359 0.359
O: 0.627 0.641 0.641
O: 0.627 0.986 0.859
O: 0.641 0.014 0.359
O: 0.641 0.627 0.141
O: 0.986 0.359 0.141
O: 0.986 0.627 0.359